VASP calculation (PBE with a Hubbard U) on a relaxed NaCeVF6 crystal. Values from VASP.

Cell and atoms, written as Quantum ESPRESSO input:
```
&SYSTEM
  ibrav = 0, nat = 18, ntyp = 4
/
ATOMIC_SPECIES
Na 22.99 Na.upf
Ce 140.12 Ce.upf
V 50.94 V.upf
F 19.00 F.upf
CELL_PARAMETERS angstrom
5.9001 0.0000 0.0000
-2.9501 5.1097 0.0000
0.0000 0.0000 9.4065
ATOMIC_POSITIONS crystal
Na 0.0000 0.0000 0.0000
Na 0.0000 0.0000 0.5000
Ce 0.3333 0.6667 0.2500
Ce 0.6667 0.3333 0.7500
V 0.3333 0.6667 0.7500
V 0.6667 0.3333 0.2500
F 0.0259 0.3600 0.6321
F 0.0259 0.6659 0.8679
F 0.3341 0.3600 0.8679
F 0.3341 0.9741 0.6321
F 0.3600 0.0259 0.1321
F 0.3600 0.3341 0.3679
F 0.6400 0.6659 0.6321
F 0.6400 0.9741 0.8679
F 0.6659 0.0259 0.3679
F 0.6659 0.6400 0.1321
F 0.9741 0.3341 0.1321
F 0.9741 0.6400 0.3679
```

Output
Spin magnetization = 4.0 μB per formula unit
DOS at the Fermi energy = 1.57 states/eV per cell
Energy = -6.10 eV per atom